The following is a DFT calculation (PBE-GGA) of Ca2TeW after structural relaxation.

The space group is I4/mmm (No. 139) and the conventional cell measures 4.5354, 4.5354 and 9.4676 Å, with angles of 90.00, 90.00 and 90.00 degrees. Symmetry generates all atoms from Ca at (0.0000, 0.5000, 0.2500), Te at (0.0000, 0.0000, 0.0000) and W at (0.0000, 0.0000, 0.5000).

The calculation puts the energy relative to the lowest polymorph listed for this composition at 0.2759 eV per atom. Its raw formation energy is 0.4797 eV/atom. The value obtained for the volume is 24.34 Å³/atom. As for the total energy: -36.4 eV/cell.